(1)
Below is a relaxed structure of LaTb7In4, with properties calculated at the PBE level.

Results
Size of the total moment in μB/f.u.: 0.00
Formation energy in eV per atom: -0.118
Space-group type: No. 12

Lattice parameters (Å, degrees): 5.697 9.375 7.792 75.81 68.56 72.31
Atoms (fractional coordinates):
Tb 0.937 0.395 0.731
Tb 0.715 0.347 0.223
Tb 0.063 0.605 0.269
Tb 0.790 0.877 0.544
Tb 0.500 0.000 0.000
Tb 0.285 0.653 0.777
Tb 0.210 0.123 0.456
La 0.000 0.000 0.000
In 0.318 0.332 0.032
In 0.561 0.239 0.639
In 0.439 0.761 0.361
In 0.682 0.668 0.968

=====

(2)
Below is a relaxed structure of La6Tb8In, with properties calculated at the PBE level.

Results
Size of the total moment in μB/f.u.: 0.00
Formation energy in eV per atom: 0.057
Space-group type: No. 147

Lattice parameters (Å, degrees): 6.514 9.555 9.555 120.00 90.00 90.00
Atoms (fractional coordinates):
Tb 0.836 0.333 0.667
Tb 0.813 0.739 0.780
Tb 0.813 0.041 0.261
Tb 0.187 0.261 0.220
Tb 0.164 0.667 0.333
Tb 0.813 0.220 0.959
Tb 0.187 0.780 0.041
Tb 0.187 0.959 0.739
La 0.682 0.641 0.089
La 0.682 0.911 0.552
La 0.318 0.089 0.448
La 0.682 0.448 0.359
La 0.318 0.552 0.641
La 0.318 0.359 0.911
In 0.500 0.000 0.000

=====

(3)
Below is a relaxed structure of LaTbIn3, with properties calculated at the PBE level.

Results
Size of the total moment in μB/f.u.: 0.32
Relative energy among the computed polymorphs in meV per atom: 0
Formation energy in eV per atom: -0.473
Space-group type: No. 63

Lattice parameters (Å, degrees): 3.806 4.956 15.034 90.00 97.27 90.00
Atoms (fractional coordinates):
Tb 0.213 0.750 0.425
Tb 0.787 0.250 0.575
In 0.680 0.250 0.360
In 0.320 0.750 0.640
In 0.377 0.250 0.754
In 0.623 0.750 0.246
In 0.525 0.750 0.050
In 0.475 0.250 0.950
La 0.926 0.750 0.851
La 0.074 0.250 0.149

=====

(4)
Below is a relaxed structure of La9Tb4In11, with properties calculated at the PBE level.

Results
Size of the total moment in μB/f.u.: 0.59
Formation energy in eV per atom: -0.429
Space-group type: No. 65

Lattice parameters (Å, degrees): 3.523 14.468 14.468 102.96 90.00 90.00
Atoms (fractional coordinates):
Tb 0.500 0.554 0.743
Tb 0.500 0.743 0.554
Tb 0.500 0.446 0.257
Tb 0.500 0.257 0.446
La 0.500 0.786 0.952
La 0.500 0.365 0.858
La 0.500 0.048 0.214
La 0.500 0.142 0.635
La 0.500 0.858 0.365
La 0.500 0.214 0.048
La 0.500 0.635 0.142
La 0.500 0.952 0.786
La 0.500 0.500 0.500
In 0.000 0.741 0.741
In 0.000 0.366 0.634
In 0.000 0.934 0.572
In 0.000 0.000 0.000
In 0.000 0.572 0.934
In 0.000 0.634 0.366
In 0.000 0.843 0.157
In 0.000 0.157 0.843
In 0.000 0.259 0.259
In 0.000 0.066 0.428
In 0.000 0.428 0.066

=====

(5)
Below is a relaxed structure of La2Tb2In3, with properties calculated at the PBE level.

Results
Size of the total moment in μB/f.u.: 0.00
Relative energy among the computed polymorphs in meV per atom: 33
Formation energy in eV per atom: -0.343
Space-group type: No. 65

Lattice parameters (Å, degrees): 4.759 3.491 12.627 90.00 79.14 90.00
Atoms (fractional coordinates):
In 0.155 0.000 0.691
In 0.000 0.000 0.000
In 0.845 0.000 0.309
La 0.426 0.500 0.148
La 0.574 0.500 0.852
Tb 0.294 0.500 0.411
Tb 0.706 0.500 0.589

=====

(6)
Below is a relaxed structure of La2Tb3In3, with properties calculated at the PBE level.

Results
Size of the total moment in μB/f.u.: 0.00
Formation energy in eV per atom: -0.355
Space-group type: No. 71

Lattice parameters (Å, degrees): 4.575 4.925 10.884 103.08 102.13 90.00
Atoms (fractional coordinates):
Tb 0.500 0.000 0.000
Tb 0.384 0.384 0.768
Tb 0.616 0.616 0.232
In 0.000 0.500 0.000
In 0.880 0.880 0.760
In 0.120 0.120 0.240
La 0.740 0.240 0.480
La 0.260 0.760 0.520